Record 1
First-principles (PBE-GGA) data for crystalline TeMo3 at its relaxed geometry, as listed in Alexandria.

Cell and atoms, written as POSCAR:
```
TeMo3
1.0
5.606 0.000 0.000
-2.803 4.855 0.000
0.000 0.000 10.063
Te Mo
4 12
Direct
0.000 0.000 0.000
0.000 0.000 0.500
0.333 0.667 0.250
0.667 0.333 0.750
0.000 0.500 0.000
0.000 0.500 0.500
0.169 0.339 0.750
0.169 0.831 0.750
0.339 0.169 0.250
0.500 0.000 0.000
0.500 0.000 0.500
0.500 0.500 0.000
0.500 0.500 0.500
0.661 0.831 0.750
0.831 0.169 0.250
0.831 0.661 0.250
```

Calculated values
**Total moment**: 0.0 μB per formula unit
**Theoretical density**: 10.1 Mg/m³
**Space-group type**: P6_3/mmc (194)
**Formation energy from raw total energies**: 535 meV/atom
**E above lowest polymorph**: 0.93 eV/f.u.

---

Record 2
First-principles (PBE-GGA) data for crystalline CsSrRe2O8 at its relaxed geometry, as listed in Alexandria.

Cell and atoms, written as POSCAR:
```
CsSrRe2O8
1.0
6.253 0.000 0.000
-3.126 5.415 0.000
0.000 0.000 8.564
Cs Sr Re O
1 1 2 8
Direct
0.000 0.000 0.000
0.000 0.000 0.500
0.333 0.667 0.754
0.667 0.333 0.246
0.176 0.820 0.685
0.180 0.356 0.685
0.333 0.667 0.959
0.356 0.176 0.315
0.644 0.824 0.685
0.667 0.333 0.041
0.820 0.644 0.315
0.824 0.180 0.315
```

Calculated values
**Total moment**: 1.1 μB per formula unit
**Theoretical density**: 4.1 Mg/m³
**Space-group type**: P-3 (147)
**Formation energy from raw total energies**: -1989 meV/atom

---

Record 3
First-principles (PBE-GGA) data for crystalline KLaIBr2 at its relaxed geometry, as listed in Alexandria.

Cell and atoms, written as POSCAR:
```
KLaIBr2
1.0
5.898 0.000 0.000
0.000 5.898 0.000
0.000 0.000 6.368
K La I Br
1 1 1 2
Direct
0.000 0.000 0.000
0.500 0.500 0.500
0.500 0.500 0.000
0.000 0.500 0.500
0.500 0.000 0.500
```

Calculated values
**Total moment**: 0.6 μB per formula unit
**Theoretical density**: 3.5 Mg/m³
**Space-group type**: P4/mmm (123)
**Formation energy from raw total energies**: -1484 meV/atom